No. 1
3
Lattice="0.0000 3.2487 3.2487 3.2487 0.0000 3.2487 3.2487 3.2487 0.0000" Properties=species:S:1:pos:R:3 comment="PBE AlAgSb, relaxed" final_energy_ev_per_atom=-3.47 space_group=F-43m pbc="T T T"
Al 0.0000 0.0000 0.0000
Ag 4.8730 4.8730 4.8730
Sb 1.6243 1.6243 1.6243


No. 2
4
Lattice="0.0000 3.5924 3.5924 3.5924 0.0000 3.5924 3.5924 3.5924 0.0000" Properties=species:S:1:pos:R:3 comment="PBE AlAgSb2, relaxed" final_energy_ev_per_atom=-3.41 space_group=F-43m pbc="T T T"
Al 0.0000 0.0000 0.0000
Ag 1.7962 1.7962 1.7962
Sb 3.5924 3.5924 3.5924
Sb 5.3886 5.3886 5.3886


No. 3
5
Lattice="-2.0023 2.0023 5.8727 2.0023 -2.0023 5.8727 2.0023 2.0023 -5.8727" Properties=species:S:1:pos:R:3 comment="PBE ScAl2Ag2, relaxed" final_energy_ev_per_atom=-4.05 space_group=I4/mmm pbc="T T T"
Sc 0.0000 0.0000 0.0000
Al 2.0023 0.0000 2.9364
Al 0.0000 2.0023 2.9364
Ag 0.0000 0.0000 4.5732
Ag 0.0000 0.0000 7.1722


No. 4
4
Lattice="0.0000 3.2953 3.2953 3.2953 0.0000 3.2953 3.2953 3.2953 0.0000" Properties=species:S:1:pos:R:3 comment="PBE ScAlAg2, relaxed" final_energy_ev_per_atom=-4.16 space_group=F-43m pbc="T T T"
Sc 0.0000 0.0000 0.0000
Al 4.9429 4.9429 4.9429
Ag 1.6476 1.6476 1.6476
Ag 3.2953 3.2953 3.2953


No. 5
8
Lattice="4.7192 0.0000 0.0000 -2.3596 4.0869 0.0000 0.0000 0.0000 7.8568" Properties=species:S:1:pos:R:3 comment="PBE ScAlAg2, relaxed" final_energy_ev_per_atom=-4.10 space_group=P6_3/mmc pbc="T T T"
Sc 0.0000 0.0000 0.0000
Sc 0.0000 0.0000 3.9284
Al 0.0000 2.7246 1.9642
Al 2.3596 1.3623 5.8926
Ag 0.0000 2.7246 4.5857
Ag 0.0000 2.7246 7.1995
Ag 2.3596 1.3623 0.6573
Ag 2.3596 1.3623 3.2711


No. 6
3
Lattice="0.0000 3.2365 3.2365 3.2365 0.0000 3.2365 3.2365 3.2365 0.0000" Properties=species:S:1:pos:R:3 comment="PBE ScAlAg, relaxed" final_energy_ev_per_atom=-4.03 space_group=F-43m pbc="T T T"
Sc 0.0000 0.0000 0.0000
Al 1.6183 1.6183 1.6183
Ag 4.8548 4.8548 4.8548


No. 7
16
Lattice="7.5484 0.0000 0.0000 0.0000 7.2608 0.0000 0.0000 0.0000 5.4550" Properties=species:S:1:pos:R:3 comment="PBE ScAlAg2, relaxed" final_energy_ev_per_atom=-4.17 space_group=Pnma pbc="T T T"
Sc 0.3211 1.8152 0.7719
Sc 3.4531 5.4456 3.4994
Sc 4.0953 1.8152 1.9556
Sc 7.2273 5.4456 4.6831
Al 0.8174 5.4456 1.9521
Al 2.9568 1.8152 4.6796
Al 4.5916 5.4456 0.7753
Al 6.7310 1.8152 3.5028
Ag 1.3910 0.3561 3.2599
Ag 1.3910 3.2742 3.2599
Ag 2.3832 3.9865 0.5324
Ag 2.3832 6.9046 0.5324
Ag 5.1652 0.3561 4.9226
Ag 5.1652 3.2742 4.9226
Ag 6.1573 3.9865 2.1951
Ag 6.1573 6.9046 2.1951


No. 8
4
Lattice="4.3392 0.0000 0.0000 0.0000 4.3392 0.0000 0.0000 0.0000 3.8988" Properties=species:S:1:pos:R:3 comment="PBE ScAlAg2, relaxed" final_energy_ev_per_atom=-4.14 space_group=P4/mmm pbc="T T T"
Sc 0.0000 0.0000 0.0000
Al 2.1696 2.1696 0.0000
Ag 0.0000 2.1696 1.9494
Ag 2.1696 0.0000 1.9494